# 1
DFT (GGA-PBE) results for a geometry-optimized Te2HIBr structure.

Cell lengths 4.3826, 4.3826, 8.5522 Å; angles 90.00, 90.00, 90.00 degrees
Atoms (fractional coordinates):
1 I 0.0000 0.0000 0.5000
2 H 0.0000 0.0000 0.0000
3 Te 0.0000 0.5000 0.0000
4 Te 0.5000 0.0000 0.0000
5 Br 0.5000 0.5000 0.5000

## Properties
DFT total energy	-2.2119	eV per atom
energy above the lowest structure with this stoichiometry	0.000	eV per atom

=====

# 2
DFT (GGA-PBE) results for a geometry-optimized Te2HIBr structure.

Cell lengths 5.6852, 5.6852, 6.0081 Å; angles 90.00, 90.00, 90.00 degrees
Site moments in Bohr magnetons follow the coordinates.
Atoms (fractional coordinates):
1 I 0.0000 0.0000 0.5000  0.11
2 H 0.5000 0.5000 0.5000  0.38
3 Te 0.0000 0.5000 0.0000  0.28
4 Te 0.5000 0.0000 0.0000  0.28
5 Br 0.0000 0.0000 0.0000  0.03

## Properties
DFT total energy	-1.4801	eV per atom
energy above the lowest structure with this stoichiometry	0.732	eV per atom

=====

# 3
DFT (GGA-PBE) results for a geometry-optimized Tl2HIBr structure.

Cell lengths 6.4421, 3.9203, 6.4421 Å; angles 90.00, 90.00, 90.00 degrees
Atoms (fractional coordinates):
1 I 0.5000 0.5000 0.5000
2 H 0.0000 0.5000 0.0000
3 Tl 0.0000 0.0000 0.5000
4 Tl 0.5000 0.0000 0.0000
5 Br 0.0000 0.0000 0.0000

## Properties
DFT total energy	-2.4345	eV per atom